# Y2GaNi2 (GGA-PBEsol, optimized geometry)
data_Y2GaNi2
_space_group_name_H-M_alt 'P 1'
_space_group_IT_number 1
_space_group_name_Hall 'P 1'
_cell_length_a 4.150
_cell_length_b 5.272
_cell_length_c 5.272
_cell_angle_alpha 59.93
_cell_angle_beta 66.82
_cell_angle_gamma 66.82
loop_
_atom_site_label
_atom_site_type_symbol
_atom_site_fract_x
_atom_site_fract_y
_atom_site_fract_z
Y1 Y 0.202 0.298 0.298
Ni1 Ni 0.500 0.733 0.267
Ni2 Ni 0.500 0.267 0.733
Y2 Y 0.798 0.702 0.702
Ga1 Ga 0.000 0.000 0.000
# SG: No. 71
# calculated total energy: -6.447 eV per atom
# DFT formation energy: -56.7 kJ per mole of atoms
# size of the total moment: 0.00 μB per atom